# 1
Below is crystalline Nd2YAl7Cu2 at its relaxed geometry, with properties calculated at the PBE-GGA level.

Symmetry: No. 166
E_tot, eV per cell: -55.32

a = 9.1776 Å, b = 9.1776 Å, c = 9.1776 Å
α = 35.34°, β = 35.34°, γ = 35.34°
With the nearest neighbours (Å) after each atom.
Element x y z (fractional)
Al: 0.9284 0.4198 0.4198  2 Cu 2.54-2.59, 5 Al 2.74-2.83
Al: 0.5802 0.0716 0.5802  2 Cu 2.54-2.59, 5 Al 2.74-2.83
Al: 0.4198 0.9284 0.4198  2 Cu 2.54-2.59, 5 Al 2.74-2.83
Al: 0.4198 0.4198 0.9284  2 Cu 2.54-2.59, 5 Al 2.74-2.83
Al: 0.5000 0.5000 0.5000  6 Al 2.83
Al: 0.5802 0.5802 0.0716  2 Cu 2.54-2.59, 5 Al 2.74-2.83
Al: 0.0716 0.5802 0.5802  2 Cu 2.54-2.59, 5 Al 2.74-2.83
Nd: 0.1416 0.1416 0.1416  12 Al 3.24-3.35, 3 Nd 3.47
Nd: 0.8584 0.8584 0.8584  12 Al 3.24-3.35, 3 Nd 3.47
Y: 0.0000 0.0000 0.0000  6 Cu 3.22, 12 Al 3.43
Cu: 0.3354 0.3354 0.3354  6 Al 2.54-2.59
Cu: 0.6646 0.6646 0.6646  6 Al 2.54-2.59

---

# 2
Below is crystalline NdAl2ZnCu2 at its relaxed geometry, with properties calculated at the PBE-GGA level.

Symmetry: No. 65
E_tot, eV per cell: -23.45

a = 5.3564 Å, b = 5.3564 Å, c = 4.1212 Å
α = 90.00°, β = 90.00°, γ = 119.92°
With the nearest neighbours (Å) after each atom.
Element x y z (fractional)
Zn: 0.5000 0.5000 0.5000  4 Cu 2.58, 4 Al 2.68
Nd: 0.0000 0.0000 0.0000  6 Cu 3.09-3.10, 8 Al 3.38, 4 Zn 3.38
Al: 0.5000 0.0000 0.5000  4 Cu 2.58, 2 Zn 2.68, 2 Al 2.68
Al: 0.0000 0.5000 0.5000  4 Cu 2.58, 2 Zn 2.68, 2 Al 2.68
Cu: 0.6673 0.3327 0.0000  4 Al 2.58, 2 Zn 2.58
Cu: 0.3327 0.6673 0.0000  4 Al 2.58, 2 Zn 2.58

---

# 3
Below is crystalline Al2CuNi5 at its relaxed geometry, with properties calculated at the PBE-GGA level.

Symmetry: No. 139
E_tot, eV per cell: -42.42

a = 5.0210 Å, b = 5.0210 Å, c = 5.0210 Å
α = 118.88°, β = 118.88°, γ = 91.95°
With the nearest neighbours (Å) after each atom.
Element x y z (fractional)
Ni: 0.5000 0.0000 0.0000  6 Ni 2.51-2.55, 4 Al 2.51, 2 Cu 2.51
Ni: 0.0000 0.0000 0.0000  8 Ni 2.51, 4 Al 2.55
Ni: 0.0000 0.0000 0.5000  4 Al 2.51, 6 Ni 2.51-2.55, 2 Cu 2.51
Ni: 0.5000 0.5000 0.5000  6 Ni 2.51-2.55, 4 Al 2.51, 2 Cu 2.51
Ni: 0.0000 0.5000 0.0000  6 Ni 2.51-2.55, 4 Al 2.51, 2 Cu 2.51
Cu: 0.5000 0.5000 0.0000  8 Ni 2.51, 4 Al 2.55
Al: 0.5000 0.0000 0.5000  10 Ni 2.51-2.55, 2 Cu 2.55
Al: 0.0000 0.5000 0.5000  10 Ni 2.51-2.55, 2 Cu 2.55

---

# 4
Below is crystalline AlCuNi2 at its relaxed geometry, with properties calculated at the PBE-GGA level.

Symmetry: No. 216
E_tot, eV per cell: -19.83

a = 4.0332 Å, b = 4.0332 Å, c = 4.0332 Å
α = 60.00°, β = 60.00°, γ = 60.00°
With the nearest neighbours (Å) after each atom.
Element x y z (fractional)
Cu: 0.0000 0.0000 0.0000  4 Al 2.47, 4 Ni 2.47
Ni: 0.7500 0.7500 0.7500  4 Cu 2.47, 4 Ni 2.47
Ni: 0.5000 0.5000 0.5000  4 Al 2.47, 4 Ni 2.47
Al: 0.2500 0.2500 0.2500  4 Cu 2.47, 4 Ni 2.47

---

# 5
Below is crystalline Al2CuNi at its relaxed geometry, with properties calculated at the PBE-GGA level.

Symmetry: No. 216
E_tot, eV per cell: -17.58

a = 4.1802 Å, b = 4.1802 Å, c = 4.1802 Å
α = 60.00°, β = 60.00°, γ = 60.00°
With the nearest neighbours (Å) after each atom.
Element x y z (fractional)
Al: 0.0000 0.0000 0.0000  4 Cu 2.56, 4 Al 2.56
Al: 0.7500 0.7500 0.7500  4 Ni 2.56, 4 Al 2.56
Ni: 0.5000 0.5000 0.5000  4 Cu 2.56, 4 Al 2.56
Cu: 0.2500 0.2500 0.2500  4 Ni 2.56, 4 Al 2.56

---

# 6
Below is crystalline AlCuNiOs at its relaxed geometry, with properties calculated at the PBE-GGA level.

Symmetry: No. 216
Offset from the most stable computed form, meV/atom: 71
E_tot, eV per cell: -24.03

a = 4.1617 Å, b = 4.1617 Å, c = 4.1617 Å
α = 60.00°, β = 60.00°, γ = 60.00°
With the nearest neighbours (Å) after each atom.
Element x y z (fractional)
Os: 0.5000 0.5000 0.5000  4 Cu 2.55, 4 Ni 2.55
Ni: 0.2500 0.2500 0.2500  4 Os 2.55, 4 Al 2.55
Al: 0.0000 0.0000 0.0000  4 Cu 2.55, 4 Ni 2.55
Cu: 0.7500 0.7500 0.7500  4 Os 2.55, 4 Al 2.55

---

# 7
Below is crystalline AlCuNiOs at its relaxed geometry, with properties calculated at the PBE-GGA level.

Symmetry: No. 216
Offset from the most stable computed form, meV/atom: 0
E_tot, eV per cell: -24.32

a = 4.1683 Å, b = 4.1683 Å, c = 4.1683 Å
α = 60.00°, β = 60.00°, γ = 60.00°
With the nearest neighbours (Å) after each atom.
Element x y z (fractional)
Os: 0.2500 0.2500 0.2500  4 Ni 2.55, 4 Al 2.55
Ni: 0.5000 0.5000 0.5000  4 Cu 2.55, 4 Os 2.55
Cu: 0.7500 0.7500 0.7500  4 Ni 2.55, 4 Al 2.55
Al: 0.0000 0.0000 0.0000  4 Cu 2.55, 4 Os 2.55

---

# 8
Below is crystalline AlCuNiPb at its relaxed geometry, with properties calculated at the PBE-GGA level.

Symmetry: No. 216
Offset from the most stable computed form, meV/atom: 169
E_tot, eV per cell: -15.37

a = 4.5491 Å, b = 4.5491 Å, c = 4.5491 Å
α = 60.00°, β = 60.00°, γ = 60.00°
With the nearest neighbours (Å) after each atom.
Element x y z (fractional)
Cu: 0.7500 0.7500 0.7500  4 Ni 2.79, 4 Al 2.79
Ni: 0.5000 0.5000 0.5000  4 Cu 2.79, 4 Pb 2.79
Al: 0.0000 0.0000 0.0000  4 Cu 2.79, 4 Pb 2.79
Pb: 0.2500 0.2500 0.2500  4 Ni 2.79, 4 Al 2.79

---

# 9
Below is crystalline AlCuNiPb at its relaxed geometry, with properties calculated at the PBE-GGA level.

Symmetry: No. 216
Offset from the most stable computed form, meV/atom: 0
E_tot, eV per cell: -16.04

a = 4.5048 Å, b = 4.5048 Å, c = 4.5048 Å
α = 60.00°, β = 60.00°, γ = 60.00°
With the nearest neighbours (Å) after each atom.
Element x y z (fractional)
Ni: 0.2500 0.2500 0.2500  4 Pb 2.76, 4 Al 2.76
Pb: 0.0000 0.0000 0.0000  4 Ni 2.76, 4 Cu 2.76
Cu: 0.7500 0.7500 0.7500  4 Al 2.76, 4 Pb 2.76
Al: 0.5000 0.5000 0.5000  4 Cu 2.76, 4 Ni 2.76

---

# 10
Below is crystalline AlCuNiPd at its relaxed geometry, with properties calculated at the PBE-GGA level.

Symmetry: No. 216
Offset from the most stable computed form, meV/atom: 0
E_tot, eV per cell: -19.72

a = 4.1878 Å, b = 4.1878 Å, c = 4.1878 Å
α = 60.00°, β = 60.00°, γ = 60.00°
With the nearest neighbours (Å) after each atom.
Element x y z (fractional)
Ni: 0.5000 0.5000 0.5000  4 Pd 2.56, 4 Cu 2.56
Pd: 0.2500 0.2500 0.2500  4 Ni 2.56, 4 Al 2.56
Al: 0.0000 0.0000 0.0000  4 Cu 2.56, 4 Pd 2.56
Cu: 0.7500 0.7500 0.7500  4 Ni 2.56, 4 Al 2.56

---

# 11
Below is crystalline AlCuNiPd at its relaxed geometry, with properties calculated at the PBE-GGA level.

Symmetry: No. 216
Offset from the most stable computed form, meV/atom: 23
E_tot, eV per cell: -19.63

a = 4.1871 Å, b = 4.1871 Å, c = 4.1871 Å
α = 60.00°, β = 60.00°, γ = 60.00°
With the nearest neighbours (Å) after each atom.
Element x y z (fractional)
Pd: 0.5000 0.5000 0.5000  4 Cu 2.56, 4 Ni 2.56
Al: 0.0000 0.0000 0.0000  4 Ni 2.56, 4 Cu 2.56
Cu: 0.7500 0.7500 0.7500  4 Pd 2.56, 4 Al 2.56
Ni: 0.2500 0.2500 0.2500  4 Al 2.56, 4 Pd 2.56

---

# 12
Below is crystalline Zr3Al3CuNiPt at its relaxed geometry, with properties calculated at the PBE-GGA level.

Symmetry: No. 174
E_tot, eV per cell: -58.58

a = 6.9251 Å, b = 6.9251 Å, c = 3.6876 Å
α = 90.00°, β = 90.00°, γ = 120.00°
With the nearest neighbours (Å) after each atom.
Element x y z (fractional)
Al: 0.9103 0.3314 0.0000  2 Ni 2.50, 1 Cu 2.66, 1 Pt 2.68
Al: 0.4211 0.0897 0.0000  2 Ni 2.50, 1 Cu 2.66, 1 Pt 2.68
Al: 0.6686 0.5790 0.0000  2 Ni 2.50, 1 Cu 2.66, 1 Pt 2.68
Zr: 0.6707 0.9361 0.5000  1 Ni 2.76, 2 Cu 2.79, 2 Pt 2.82, 6 Al 3.02-3.08
Zr: 0.2654 0.3293 0.5000  1 Ni 2.76, 2 Cu 2.79, 2 Pt 2.82, 6 Al 3.02-3.08
Zr: 0.0639 0.7346 0.5000  1 Ni 2.76, 2 Cu 2.79, 2 Pt 2.82, 6 Al 3.02-3.08
Pt: 0.3333 0.6667 0.0000  3 Al 2.68, 6 Zr 2.82
Cu: 0.0000 0.0000 0.0000  3 Al 2.66, 6 Zr 2.79
Ni: 0.6667 0.3333 0.5000  6 Al 2.50, 3 Zr 2.76

---

# 13
Below is crystalline AlCuReNi at its relaxed geometry, with properties calculated at the PBE-GGA level.

Symmetry: No. 216
Offset from the most stable computed form, meV/atom: 0
E_tot, eV per cell: -25.03

a = 4.1946 Å, b = 4.1946 Å, c = 4.1946 Å
α = 60.00°, β = 60.00°, γ = 60.00°
With the nearest neighbours (Å) after each atom.
Element x y z (fractional)
Re: 0.2500 0.2500 0.2500  4 Al 2.57, 4 Ni 2.57
Cu: 0.7500 0.7500 0.7500  4 Ni 2.57, 4 Al 2.57
Ni: 0.5000 0.5000 0.5000  4 Cu 2.57, 4 Re 2.57
Al: 0.0000 0.0000 0.0000  4 Re 2.57, 4 Cu 2.57

---

# 14
Below is crystalline AlCuReNi at its relaxed geometry, with properties calculated at the PBE-GGA level.

Symmetry: No. 216
Offset from the most stable computed form, meV/atom: 6
E_tot, eV per cell: -25.00

a = 4.1905 Å, b = 4.1905 Å, c = 4.1905 Å
α = 60.00°, β = 60.00°, γ = 60.00°
With the nearest neighbours (Å) after each atom.
Element x y z (fractional)
Ni: 0.2500 0.2500 0.2500  4 Re 2.57, 4 Al 2.57
Re: 0.5000 0.5000 0.5000  4 Ni 2.57, 4 Cu 2.57
Cu: 0.7500 0.7500 0.7500  4 Re 2.57, 4 Al 2.57
Al: 0.0000 0.0000 0.0000  4 Ni 2.57, 4 Cu 2.57

---

# 15
Below is crystalline Tm2ScAl3Cu2Ni at its relaxed geometry, with properties calculated at the PBE-GGA level.

Symmetry: No. 38
E_tot, eV per cell: -44.20

a = 3.8938 Å, b = 6.8817 Å, c = 6.8817 Å
α = 120.27°, β = 90.00°, γ = 90.00°
With the nearest neighbours (Å) after each atom.
Element x y z (fractional)
Ni: 0.0000 0.9947 0.9947  6 Al 2.52-2.57, 1 Sc 2.76
Cu: 0.5000 0.6644 0.3398  3 Al 2.64-2.78, 2 Sc 2.82, 4 Tm 2.86-2.87
Cu: 0.5000 0.3398 0.6644  3 Al 2.64-2.78, 2 Sc 2.82, 4 Tm 2.86-2.87
Al: 0.5000 0.9947 0.7632  2 Ni 2.52, 2 Cu 2.64-2.78, 1 Al 2.76
Al: 0.5000 0.2385 0.2385  2 Ni 2.57, 2 Cu 2.65, 2 Al 2.83
Al: 0.5000 0.7632 0.9947  2 Ni 2.52, 2 Cu 2.64-2.78, 1 Al 2.76
Tm: 0.0000 0.0008 0.4115  1 Ni 2.85, 4 Cu 2.86-2.87, 6 Al 3.12-3.16
Tm: 0.0000 0.4115 0.0008  1 Ni 2.85, 4 Cu 2.86-2.87, 6 Al 3.12-3.16
Sc: 0.0000 0.5925 0.5925  1 Ni 2.76, 4 Cu 2.82

---

# 16
Below is crystalline YSc2Al3Cu2Ni at its relaxed geometry, with properties calculated at the PBE-GGA level.

Symmetry: No. 38
E_tot, eV per cell: -47.96

a = 3.8463 Å, b = 6.8478 Å, c = 6.8478 Å
α = 120.00°, β = 90.00°, γ = 90.00°
With the nearest neighbours (Å) after each atom.
Element x y z (fractional)
Cu: 0.5000 0.3298 0.6745  3 Al 2.57-2.72, 4 Sc 2.79-2.81, 2 Y 2.87
Cu: 0.5000 0.6745 0.3298  3 Al 2.57-2.72, 4 Sc 2.79-2.81, 2 Y 2.87
Ni: 0.0000 0.9915 0.9915  6 Al 2.47-2.55, 2 Sc 2.77
Sc: 0.0000 0.0015 0.5928  1 Ni 2.77, 4 Cu 2.79-2.81, 4 Al 3.07-3.09
Sc: 0.0000 0.5928 0.0015  1 Ni 2.77, 4 Cu 2.79-2.81, 4 Al 3.07-3.09
Al: 0.5000 0.2369 0.9944  2 Ni 2.55, 2 Cu 2.57-2.72, 1 Al 2.80
Al: 0.5000 0.7652 0.7652  2 Ni 2.47, 2 Cu 2.72
Al: 0.5000 0.9944 0.2369  2 Ni 2.55, 2 Cu 2.57-2.72, 1 Al 2.80
Y: 0.0000 0.4133 0.4133  4 Cu 2.87, 1 Ni 2.89, 6 Al 3.08-3.15

---

# 17
Below is crystalline Sm3Al3Cu2Ni at its relaxed geometry, with properties calculated at the PBE-GGA level.

Symmetry: No. 189
E_tot, eV per cell: -42.52

a = 7.0937 Å, b = 7.0937 Å, c = 4.0902 Å
α = 90.00°, β = 90.00°, γ = 120.00°
With the nearest neighbours (Å) after each atom.
Element x y z (fractional)
Sm: 0.4116 0.0000 0.0000  1 Ni 2.92, 4 Cu 2.96, 4 Al 3.26
Sm: 0.0000 0.4116 0.0000  1 Ni 2.92, 4 Cu 2.96, 4 Al 3.26
Sm: 0.5884 0.5884 0.0000  1 Ni 2.92, 4 Cu 2.96, 4 Al 3.26
Al: 0.2253 0.2253 0.5000  2 Ni 2.60, 2 Al 2.77, 2 Cu 2.83
Al: 0.0000 0.7747 0.5000  2 Ni 2.60, 2 Al 2.77, 2 Cu 2.83
Al: 0.7747 0.0000 0.5000  2 Ni 2.60, 2 Al 2.77, 2 Cu 2.83
Cu: 0.3333 0.6667 0.5000  3 Al 2.83, 6 Sm 2.96
Cu: 0.6667 0.3333 0.5000  3 Al 2.83, 6 Sm 2.96
Ni: 0.0000 0.0000 0.0000  6 Al 2.60

---

# 18
Below is crystalline Sm3Al3CuNi2 at its relaxed geometry, with properties calculated at the PBE-GGA level.

Symmetry: No. 189
E_tot, eV per cell: -44.73

a = 7.0469 Å, b = 7.0469 Å, c = 4.0611 Å
α = 90.00°, β = 90.00°, γ = 120.00°
With the nearest neighbours (Å) after each atom.
Element x y z (fractional)
Cu: 0.0000 0.0000 0.0000  6 Al 2.62
Sm: 0.5797 0.5797 0.0000  4 Ni 2.93, 1 Cu 2.96, 6 Al 3.16-3.28
Sm: 0.0000 0.4203 0.0000  4 Ni 2.93, 1 Cu 2.96, 6 Al 3.16-3.28
Sm: 0.4203 0.0000 0.0000  4 Ni 2.93, 1 Cu 2.96, 6 Al 3.16-3.28
Al: 0.2357 0.2357 0.5000  2 Cu 2.62, 2 Ni 2.76, 2 Al 2.88
Al: 0.7643 0.0000 0.5000  2 Cu 2.62, 2 Ni 2.76, 2 Al 2.88
Al: 0.0000 0.7643 0.5000  2 Cu 2.62, 2 Ni 2.76, 2 Al 2.88
Ni: 0.3333 0.6667 0.5000  3 Al 2.76, 6 Sm 2.93
Ni: 0.6667 0.3333 0.5000  3 Al 2.76, 6 Sm 2.93

---

# 19
Below is crystalline Sm2YAl3Cu2Ni at its relaxed geometry, with properties calculated at the PBE-GGA level.

Symmetry: No. 38
E_tot, eV per cell: -44.41

a = 4.0561 Å, b = 7.1060 Å, c = 7.1060 Å
α = 120.84°, β = 90.00°, γ = 90.00°
With the nearest neighbours (Å) after each atom.
Element x y z (fractional)
Sm: 0.0000 0.4136 0.0011  1 Ni 2.95, 4 Cu 2.95-2.97, 6 Al 3.26-3.27
Sm: 0.0000 0.0011 0.4136  1 Ni 2.95, 4 Cu 2.95-2.97, 6 Al 3.26-3.27
Cu: 0.5000 0.6650 0.3406  3 Al 2.74-2.91, 2 Y 2.91, 4 Sm 2.95-2.97
Cu: 0.5000 0.3406 0.6650  3 Al 2.74-2.91, 2 Y 2.91, 4 Sm 2.95-2.97
Al: 0.5000 0.7717 0.9955  2 Ni 2.58, 1 Cu 2.74, 2 Al 2.77-2.78
Al: 0.5000 0.9955 0.7717  2 Ni 2.58, 1 Cu 2.74, 2 Al 2.77-2.78
Al: 0.5000 0.2279 0.2279  2 Ni 2.60, 2 Cu 2.78, 2 Al 2.78
Ni: 0.0000 0.9960 0.9960  6 Al 2.58-2.60, 1 Y 2.86
Y: 0.0000 0.5885 0.5885  1 Ni 2.86, 4 Cu 2.91

---

# 20
Below is crystalline AlCuTcNi at its relaxed geometry, with properties calculated at the PBE-GGA level.

Symmetry: No. 216
Offset from the most stable computed form, meV/atom: 26
E_tot, eV per cell: -23.54

a = 4.1928 Å, b = 4.1928 Å, c = 4.1928 Å
α = 60.00°, β = 60.00°, γ = 60.00°
With the nearest neighbours (Å) after each atom.
Element x y z (fractional)
Al: 0.0000 0.0000 0.0000  4 Cu 2.57, 4 Ni 2.57
Cu: 0.7500 0.7500 0.7500  4 Tc 2.57, 4 Al 2.57
Tc: 0.5000 0.5000 0.5000  4 Ni 2.57, 4 Cu 2.57
Ni: 0.2500 0.2500 0.2500  4 Tc 2.57, 4 Al 2.57